# 1
! PBE TiInCuCl6, relaxed; values from VASP
&SYSTEM
  ibrav = 0, nat = 9, ntyp = 4
/
ATOMIC_SPECIES
Ti 47.87 Ti.upf
In 114.82 In.upf
Cu 63.55 Cu.upf
Cl 35.45 Cl.upf
CELL_PARAMETERS angstrom
6.454 0.003 0.001
3.230 5.589 -0.003
0.002 -0.004 6.808
ATOMIC_POSITIONS crystal
Ti 0.334 0.333 0.500
In 0.000 0.000 0.000
Cu 0.667 0.667 0.500
Cl 0.016 0.366 0.300
Cl 0.366 0.016 0.700
Cl 0.617 0.366 0.701
Cl 0.017 0.617 0.701
Cl 0.366 0.617 0.299
Cl 0.617 0.017 0.299
! Energy relative to the elements, uncorrected, eV/atom: -1.115
! Electronic total energy, eV per atom: -3.98

---

# 2
! PBE KSr2ThS4, relaxed; values from VASP
&SYSTEM
  ibrav = 0, nat = 8, ntyp = 4
/
ATOMIC_SPECIES
K 39.10 K.upf
Sr 87.62 Sr.upf
Th 232.04 Th.upf
S 32.06 S.upf
CELL_PARAMETERS angstrom
4.191 0.000 0.000
0.000 7.305 -0.160
0.000 2.558 7.012
ATOMIC_POSITIONS crystal
K 0.500 0.500 0.000
Sr 0.000 0.000 0.000
Sr 0.500 0.000 0.500
Th 0.000 0.500 0.500
S 0.000 0.745 0.723
S 0.000 0.255 0.277
S 0.500 0.742 0.266
S 0.500 0.258 0.734
! Energy relative to the elements, uncorrected, eV/atom: -1.855
! Electronic total energy, eV per atom: -5.40

---

# 3
! PBE SnAsI3, relaxed; values from VASP
&SYSTEM
  ibrav = 0, nat = 5, ntyp = 3
/
ATOMIC_SPECIES
I 126.90 I.upf
As 74.92 As.upf
Sn 118.71 Sn.upf
CELL_PARAMETERS angstrom
-3.872 1.158 4.512
4.460 -0.774 4.026
1.347 5.895 -0.358
ATOMIC_POSITIONS crystal
I 0.000 0.500 0.000
I 0.000 0.000 0.500
I 0.500 0.000 0.000
As 0.500 0.500 0.500
Sn 0.000 0.000 0.000
! Energy above the lowest structure with this stoichiometry, meV/atom: 126
! Energy relative to the elements, uncorrected, eV/atom: 0.333
! Electronic total energy, eV per atom: -2.33

---

# 4
! PBE Ac3Zn5Cd6, relaxed; values from VASP
&SYSTEM
  ibrav = 0, nat = 28, ntyp = 3
/
ATOMIC_SPECIES
Ac 227.00 Ac.upf
Zn 65.41 Zn.upf
Cd 112.41 Cd.upf
CELL_PARAMETERS angstrom
4.884 0.000 0.000
0.000 9.582 0.000
0.000 0.000 14.529
ATOMIC_POSITIONS crystal
Ac 0.000 0.248 0.707
Ac 0.500 0.752 0.207
Ac 0.500 0.752 0.793
Ac 0.000 0.266 0.000
Ac 0.500 0.734 0.500
Ac 0.000 0.248 0.293
Zn 0.000 0.545 0.863
Zn 0.000 0.889 0.658
Zn 0.000 0.744 0.000
Zn 0.500 0.455 0.637
Zn 0.500 0.256 0.500
Zn 0.000 0.545 0.137
Zn 0.500 0.455 0.363
Zn 0.000 0.889 0.342
Zn 0.500 0.111 0.842
Zn 0.500 0.111 0.158
Cd 0.000 0.972 0.863
Cd 0.500 0.028 0.637
Cd 0.500 0.395 0.839
Cd 0.500 0.579 0.000
Cd 0.000 0.421 0.500
Cd 0.000 0.605 0.661
Cd 0.000 0.605 0.339
Cd 0.500 0.937 0.000
Cd 0.000 0.972 0.137
Cd 0.500 0.395 0.161
Cd 0.000 0.063 0.500
Cd 0.500 0.028 0.363
! Formation enthalpy at 0 K, eV/atom: -0.255
! Electronic total energy, eV per atom: -1.98